Entry from Alexandria: a relaxed structure of MoOsO2 (GGA+U).

Symmetry ... I-42d, No. 122
E ... -56.28 eV for the cell shown

a = 4.710 Å, b = 4.710 Å, c = 5.880 Å
α = 66.39°, β = 66.39°, γ = 90.00°
Last column: magnetic moment on the atom in μB.
Atoms (fractional coordinates):
Mo: 0.500 0.500 0.000  2.08
Mo: 0.250 0.750 0.500  2.08
O: 0.375 0.380 0.750  -0.02
O: 0.875 0.870 0.750  -0.02
O: 0.130 0.625 0.250  -0.02
O: 0.620 0.125 0.250  -0.02
Os: 0.750 0.250 0.500  -0.20
Os: 0.000 0.000 0.000  -0.19